## w
An optimized crystal structure of Zn2NiSn2. Source: the Alexandria database, functional PBE.

```
Zn2NiSn2
1.0
-4.681 4.735 -0.130
0.014 -0.170 -6.658
-3.065 -3.028 0.071
Ni Sn Zn
2 4 4
Cartesian
0.000 0.000 0.000 Ni
-2.334 2.283 -3.394 Ni
-2.347 -0.795 -4.488 Sn
-4.685 1.547 -5.539 Sn
-5.385 2.333 -2.229 Sn
-3.047 -0.009 -1.178 Sn
-1.669 1.555 -5.767 Zn
-4.013 3.960 -4.379 Zn
-2.998 3.011 -1.021 Zn
-0.654 0.606 -2.409 Zn
```

Properties
Crystal system   tetragonal

---

## x
An optimized crystal structure of Zn2NiSn2. Source: the Alexandria database, functional PBE.

```
Zn2NiSn2
1.0
-5.737 1.369 -3.466
-3.327 -4.748 3.631
-1.064 2.998 2.945
Ni Zn Sn
2 4 4
Cartesian
-4.532 -1.690 0.082 Ni
0.000 0.000 0.000 Ni
-6.652 0.971 -0.201 Zn
-3.060 1.319 0.743 Zn
-7.068 -1.700 2.368 Zn
-3.476 -1.353 3.312 Zn
-6.994 -2.038 -0.453 Sn
-4.666 -3.494 1.870 Sn
-4.398 0.114 -1.705 Sn
-2.070 -1.342 0.618 Sn
```

Properties
Crystal system   tetragonal

---

Result of the stability comparison: w is the most stable of them.

---

## w
An optimized crystal structure of ZrNi3Sn. Source: the Alexandria database, functional PBE.

```
ZrNi3Sn
1.0
4.664 0.000 0.000
0.000 4.664 0.000
0.000 0.000 4.664
Sn Zr Ni
1 1 3
Cartesian
2.332 2.332 2.332 Sn
0.000 0.000 0.000 Zr
0.000 2.332 0.000 Ni
2.332 0.000 0.000 Ni
0.000 0.000 2.332 Ni
```

Properties
Crystal system   cubic

---

## x
An optimized crystal structure of ZrNi3Sn. Source: the Alexandria database, functional PBE.

```
ZrNi3Sn
1.0
4.567 0.000 0.000
0.000 4.567 0.000
0.000 0.000 4.567
Zr Ni Sn
1 3 1
Cartesian
2.283 2.283 2.283 Zr
0.000 2.283 0.000 Ni
0.000 0.000 2.283 Ni
2.283 0.000 0.000 Ni
0.000 0.000 0.000 Sn
```

Properties
Crystal system   cubic

---

Result of the stability comparison: x is the most stable of them.

---

## w
An optimized crystal structure of SrTa2Ni. Source: the Alexandria database, functional PBE.

```
SrTa2Ni
1.0
-1.374 1.521 2.483
-1.776 -3.967 1.447
4.468 -0.898 3.022
Ni Sr Ta
1 1 2
Cartesian
1.547 0.312 2.753 Ni
1.346 -2.432 2.235 Sr
0.000 0.000 0.000 Ta
-1.575 -1.223 1.965 Ta
```

Properties
Crystal system   orthorhombic

---

## x
An optimized crystal structure of SrTa2Ni. Source: the Alexandria database, functional PBE.

```
SrTa2Ni
1.0
4.948 0.000 0.000
0.000 4.948 0.000
0.000 0.000 3.061
Sr Ta Ni
1 2 1
Cartesian
0.000 2.474 1.530 Sr
2.474 2.474 0.000 Ta
0.000 0.000 0.000 Ta
2.474 0.000 1.530 Ni
```

Properties
Crystal system   tetragonal

---

## y
An optimized crystal structure of SrTa2Ni. Source: the Alexandria database, functional PBE.

```
SrTa2Ni
1.0
-5.469 -1.812 -1.046
4.809 -3.203 -0.952
-0.163 -1.028 2.634
Ni Ta Sr
1 2 1
Cartesian
-2.816 -1.420 0.794 Ni
-0.330 -2.507 -0.999 Ta
0.000 0.000 0.000 Ta
2.323 -2.115 0.841 Sr
```

Properties
Crystal system   orthorhombic

---

Result of the stability comparison: w is the most stable of them.

---

## w
An optimized crystal structure of SrTa2Ni. Source: the Alexandria database, functional PBE.

```
SrTa2Ni
1.0
4.992 -0.004 -0.015
-2.278 5.727 0.008
0.436 0.742 2.820
Ta Ni Sr
2 1 1
Cartesian
2.714 0.369 1.403 Ta
0.000 0.000 0.000 Ta
-0.921 3.235 1.414 Ni
1.357 2.861 -0.003 Sr
```

Properties
Crystal system   monoclinic

---

## x
An optimized crystal structure of SrTa2Ni. Source: the Alexandria database, functional PBE.

```
SrTa2Ni
1.0
10.050 -0.016 -0.010
9.589 3.006 -0.010
9.589 1.460 2.628
Ni Sr Ta
1 1 2
Cartesian
7.307 1.113 0.652 Ni
21.921 3.338 1.957 Sr
15.117 2.302 1.349 Ta
28.725 4.373 2.564 Ta
```

Properties
Crystal system   trigonal

---

## y
An optimized crystal structure of SrTa2Ni. Source: the Alexandria database, functional PBE.

```
SrTa2Ni
1.0
-3.316 3.837 0.704
-3.686 1.849 3.035
3.300 3.788 3.754
Sr Ni Ta
1 1 2
Cartesian
-3.010 7.090 5.570 Sr
-2.318 4.595 3.551 Ni
-0.872 2.192 1.731 Ta
-6.355 6.020 4.126 Ta
```

Properties
Crystal system   monoclinic

---

Result of the stability comparison: y is the most stable of them.

---

## w
An optimized crystal structure of SrTa2Ni. Source: the Alexandria database, functional PBE.

```
SrTa2Ni
1.0
-1.625 5.992 0.468
-3.045 4.720 2.685
2.762 2.551 3.234
Ni Ta Sr
1 2 1
Cartesian
-0.477 3.316 1.597 Ni
-1.255 6.962 3.190 Ta
-4.369 10.381 3.156 Ta
-1.431 9.947 4.790 Sr
```

Properties
Crystal system   orthorhombic

---

## x
An optimized crystal structure of SrTa2Ni. Source: the Alexandria database, functional PBE.

```
SrTa2Ni
1.0
5.924 0.017 0.000
3.256 4.948 0.000
-4.590 -2.483 2.803
Ta Ni Sr
2 1 1
Cartesian
4.590 2.483 0.000 Ta
0.000 0.000 0.000 Ta
1.628 2.474 1.401 Ni
2.962 0.009 1.401 Sr
```

Properties
Crystal system   tetragonal

---

Result of the stability comparison: w is the most stable of them.

---

## w
An optimized crystal structure of SrTa2Ni. Source: the Alexandria database, functional PBE.

```
SrTa2Ni
1.0
-2.677 -0.457 0.841
1.679 -1.297 4.641
-0.390 5.247 1.608
Ni Sr Ta
1 1 2
Cartesian
-0.597 0.435 3.143 Ni
-0.792 3.058 3.946 Sr
-0.192 2.576 0.789 Ta
-0.004 0.047 0.014 Ta
```

Properties
Crystal system   orthorhombic

---

## x
An optimized crystal structure of SrTa2Ni. Source: the Alexandria database, functional PBE.

```
SrTa2Ni
1.0
-3.716 3.791 0.080
-2.438 -2.430 1.919
1.407 1.307 3.441
Ta Ni Sr
2 1 1
Cartesian
0.000 0.000 0.000 Ta
-0.515 -0.562 2.680 Ta
-3.077 0.680 0.999 Ni
-1.155 2.549 1.761 Sr
```

Properties
Crystal system   tetragonal

---

## y
An optimized crystal structure of SrTa2Ni. Source: the Alexandria database, functional PBE.

```
SrTa2Ni
1.0
3.152 0.000 0.000
0.000 3.155 0.019
0.000 3.106 8.414
Sr Ni Ta
1 1 2
Cartesian
1.576 4.696 6.049 Sr
0.000 3.134 3.665 Ni
0.000 3.153 0.531 Ta
1.576 1.564 2.424 Ta
```

Properties
Crystal system   tetragonal

---

## z
An optimized crystal structure of SrTa2Ni. Source: the Alexandria database, functional PBE.

```
SrTa2Ni
1.0
5.871 0.002 -0.002
2.497 5.314 0.002
-3.278 -4.084 2.654
Ta Sr Ni
2 1 1
Cartesian
8.097 5.144 0.000 Ta
3.217 -0.821 1.326 Ta
1.888 2.062 1.328 Sr
4.440 2.821 0.000 Ni
```

Properties
Crystal system   orthorhombic

---

Result of the stability comparison: y is the most stable of them.

---

## w
An optimized crystal structure of SrTa2Ni. Source: the Alexandria database, functional PBE.

```
SrTa2Ni
1.0
-0.881 -5.022 -0.328
3.643 -0.866 3.477
-4.415 -2.334 7.799
Ta Ni Sr
4 2 2
Cartesian
-1.365 -4.175 7.899 Ta
0.843 -3.008 4.000 Ta
-0.979 -2.575 2.261 Ta
-1.805 -6.687 7.735 Ta
0.304 -3.072 6.425 Ni
1.381 -2.944 1.574 Ni
0.000 0.000 0.000 Sr
-1.957 -5.150 4.522 Sr
```

Properties
Crystal system   tetragonal

---

## x
An optimized crystal structure of SrTa2Ni. Source: the Alexandria database, functional PBE.

```
SrTa2Ni
1.0
-2.273 -3.247 3.386
0.486 -2.325 -1.903
4.623 -1.490 1.674
Sr Ta Ni
1 2 1
Cartesian
2.695 -4.484 1.521 Sr
0.148 -0.138 -0.033 Ta
2.406 -1.770 -0.082 Ta
0.141 -2.577 1.636 Ni
```

Properties
Crystal system   monoclinic

---

Result of the stability comparison: x is the most stable of them.

---

## w
An optimized crystal structure of SrTa2Ni. Source: the Alexandria database, functional PBE.

```
SrTa2Ni
1.0
4.805 -0.018 0.000
0.017 4.805 0.000
-2.411 -2.394 3.398
Ni Ta Sr
1 2 1
Cartesian
2.411 2.394 0.000 Ni
0.009 2.403 1.699 Ta
0.000 0.000 0.000 Ta
2.403 -0.009 1.699 Sr
```

Properties
Crystal system   cubic

---

## x
An optimized crystal structure of SrTa2Ni. Source: the Alexandria database, functional PBE.

```
SrTa2Ni
1.0
2.933 0.076 0.000
-0.046 2.934 0.000
0.000 0.000 9.315
Ni Ta Sr
1 2 1
Cartesian
1.444 1.505 2.329 Ni
0.000 0.000 4.017 Ta
0.000 0.000 0.641 Ta
1.444 1.505 6.987 Sr
```

Properties
Crystal system   orthorhombic

---

Result of the stability comparison: x is the most stable of them.

---

## w
An optimized crystal structure of Sr2TaNi. Source: the Alexandria database, functional PBE.

```
Sr2TaNi
1.0
3.312 0.000 0.000
0.000 5.667 0.000
0.000 0.000 5.667
Sr Ta Ni
2 1 1
Cartesian
0.000 0.000 0.000 Sr
0.000 2.834 2.834 Sr
1.656 2.834 0.000 Ta
1.656 0.000 2.834 Ni
```

Properties
Crystal system   tetragonal

---

## x
An optimized crystal structure of Sr2TaNi. Source: the Alexandria database, functional PBE.

```
Sr2TaNi
1.0
10.257 0.008 0.005
9.693 3.354 0.005
9.693 1.633 2.929
Ta Ni Sr
1 1 2
Cartesian
7.411 1.249 0.735 Ta
22.233 3.747 2.204 Ni
14.527 2.448 1.440 Sr
0.295 0.050 0.029 Sr
```

Properties
Crystal system   trigonal

---

## y
An optimized crystal structure of Sr2TaNi. Source: the Alexandria database, functional PBE.

```
Sr2TaNi
1.0
9.545 0.001 -0.004
8.189 4.904 0.004
-8.787 -2.742 2.526
Sr Ta Ni
2 1 1
Cartesian
1.765 0.488 0.000 Sr
7.102 1.964 0.000 Sr
4.813 -0.144 1.261 Ta
4.135 2.307 1.265 Ni
```

Properties
Crystal system   orthorhombic

---

## z
An optimized crystal structure of Sr2TaNi. Source: the Alexandria database, functional PBE.

```
Sr2TaNi
1.0
5.880 -0.110 0.000
2.505 5.321 0.000
-4.192 -2.605 3.197
Ta Sr Ni
1 2 1
Cartesian
1.252 2.660 1.599 Ta
4.192 2.605 0.000 Sr
0.000 0.000 0.000 Sr
2.940 -0.055 1.599 Ni
```

Properties
Crystal system   tetragonal

---

Result of the stability comparison: y is the most stable of them.

---

## w
An optimized crystal structure of Sr2TaNi. Source: the Alexandria database, functional PBE.

```
Sr2TaNi
1.0
-0.536 -2.094 -3.334
2.569 -3.745 1.939
-4.238 -1.927 1.892
Ni Sr Ta
1 2 1
Cartesian
-0.835 -2.836 1.916 Ni
1.016 -2.920 -0.697 Sr
0.000 0.000 0.000 Sr
-2.387 -2.010 -0.721 Ta
```

Properties
Crystal system   orthorhombic

---

## x
An optimized crystal structure of Sr2TaNi. Source: the Alexandria database, functional PBE.

```
Sr2TaNi
1.0
6.605 -0.001 0.015
5.640 3.438 0.015
2.291 0.643 4.971
Sr Ni Ta
2 1 1
Cartesian
10.980 3.082 3.711 Sr
11.879 3.334 0.208 Sr
3.211 0.901 1.465 Ni
7.977 2.239 2.146 Ta
```

Properties
Crystal system   monoclinic

---

Result of the stability comparison: x is the most stable of them.

---

## w
An optimized crystal structure of Sr2TaNi. Source: the Alexandria database, functional PBE.

```
Sr2TaNi
1.0
0.314 3.022 4.499
-2.821 4.624 0.367
-4.256 0.324 3.355
Ni Sr Ta
1 2 1
Cartesian
0.000 0.000 0.000 Ni
-5.072 5.978 6.166 Sr
-1.691 1.993 2.055 Sr
-3.381 3.985 4.111 Ta
```

Properties
Crystal system   cubic

---

## x
An optimized crystal structure of Sr2TaNi. Source: the Alexandria database, functional PBE.

```
Sr2TaNi
1.0
-4.671 -9.494 -3.662
10.151 -4.626 -0.956
2.594 -7.834 -0.113
Ta Sr Ni
2 4 2
Cartesian
0.000 0.000 0.000 Ta
0.332 -12.194 -3.042 Ta
-0.232 -6.906 -1.833 Sr
5.639 -7.601 -1.687 Sr
5.674 -11.933 -1.974 Sr
5.068 -17.468 -3.968 Sr
7.743 -9.760 -1.689 Ni
2.740 -7.060 -2.309 Ni
```

Properties
Crystal system   tetragonal

---

Result of the stability comparison: x is the most stable of them.